(1)
Computed, not measured: PuMg2Sc after structural relaxation at the PBE level of DFT.

abc: 4.4636 4.4636 4.9835
angles: 90.00 90.00 90.00
With the nearest neighbours (Å) after each atom.
Space group P4/mmm (No. 123)
Asymmetric unit:
Pu 0.0000 0.0000 0.0000 x1  4 Sc 3.16, 8 Mg 3.35
Mg 0.0000 0.5000 0.5000 x2  4 Mg 3.16, 4 Sc 3.35, 4 Pu 3.35
Sc 0.5000 0.5000 0.0000 x1  4 Pu 3.16, 8 Mg 3.35

Results
E_form (eV per atom): 0.17

=====

(2)
Computed, not measured: BeIr2Rh after structural relaxation at the PBE level of DFT.

abc: 5.2898 7.4944 2.7014
angles: 90.00 90.00 90.00
With the nearest neighbours (Å) after each atom.
Space group Cmmm (No. 65)
Asymmetric unit:
Be 0.0000 0.0000 0.0000 x2  2 Rh 2.64, 8 Ir 2.66, 2 Be 2.70
Ir 0.2500 0.2500 0.5000 x4  4 Ir 2.64-2.70, 4 Rh 2.66, 4 Be 2.66
Rh 0.0000 0.5000 0.0000 x2  2 Be 2.64, 8 Ir 2.66, 2 Rh 2.70

Results
E_form (eV per atom): -0.06

=====

(3)
Computed, not measured: SrSm2Mg3 after structural relaxation at the PBE level of DFT.

abc: 3.9260 3.9260 12.0800
angles: 90.00 90.00 90.00
With the nearest neighbours (Å) after each atom.
Space group P4/mmm (No. 123)
Asymmetric unit:
Sr 0.0000 0.0000 0.0000 x1  8 Mg 3.61, 4 Sr 3.93
Sm 0.0000 0.0000 0.3472 x2  8 Mg 3.33-3.35, 1 Sm 3.69
Mg 0.5000 0.5000 0.1913 x2  4 Sm 3.35, 4 Sr 3.61, 1 Mg 3.73
Mg 0.5000 0.5000 0.5000 x1  8 Sm 3.33, 2 Mg 3.73

Results
E_form (eV per atom): -0.07

=====

(4)
Computed, not measured: Pr4HgOs after structural relaxation at the PBE level of DFT.

abc: 14.1259 14.1259 14.1259
angles: 90.00 90.00 90.00
With the nearest neighbours (Å) after each atom.
Space group F-43m (No. 216)
Asymmetric unit:
Pr 0.0000 0.0000 0.1918 x24  2 Os 2.86
Pr 0.0585 0.2500 0.2500 x24  2 Hg 3.36, 6 Pr 3.56-3.72, 2 Os 3.56
Pr 0.1532 0.1532 0.6532 x16  3 Os 2.96
Hg 0.0828 0.0828 0.4172 x16  3 Hg 3.31, 9 Pr 3.36-3.62
Os 0.1381 0.1381 0.8619 x16  6 Pr 2.86-2.96

Results
Energy above the lowest structure with this stoichiometry (meV per atom): 0
E_form (eV per atom): -0.23

=====

(5)
Computed, not measured: MoWCSe2 after structural relaxation at the PBE level of DFT.

abc: 4.7485 4.7485 4.9972
angles: 90.00 90.00 90.00
With the nearest neighbours (Å) after each atom.
Space group P4/mmm (No. 123)
Asymmetric unit:
Mo 0.0000 0.0000 0.0000 x1  4 Se 2.37, 2 W 2.50
W 0.0000 0.0000 0.5000 x1  2 Mo 2.50
C 0.5000 0.5000 0.5000 x1  4 W 3.36, 8 Se 3.45
Se 0.0000 0.5000 0.0000 x2  2 Mo 2.37

Results
E_form (uncorrected) (eV per atom): 2.39

=====

(6)
Computed, not measured: LiB2I2 after structural relaxation at the PBE level of DFT.

abc: 7.7778 7.7778 3.8017
angles: 90.00 90.00 90.00
With the nearest neighbours (Å) after each atom.
Space group P4/mbm (No. 127)
Asymmetric unit:
Li 0.0000 0.0000 0.0000 x2  4 I 2.87
B 0.1777 0.3223 0.5000 x4  2 I 2.50
I 0.1748 0.6748 0.0000 x4  2 B 2.50

Results
E_form (uncorrected) (eV per atom): 1.26
Energy above the lowest structure with this stoichiometry (meV per atom): 247

=====

| no. | DOS(E_F) (states/eV per cell) | electronic total energy (eV per cell) |
| --- | --- | --- |
| 1 | 10.4 | -23.169 |
| 2 | 7.3 | -58.063 |
| 3 | 5.5 | -16.351 |
| 4 | 97.8 | -512.158 |
| 5 | 7.0 | -28.029 |
| 6 | 4.3 | -24.172 |